VASP calculation (PBE) on an optimized crystal structure of LiPm6Al5.

## Properties
**DFT total energy**: -4.416 eV per atom

abc: 5.2616 7.3877 8.3225
angles: 90.00 71.57 90.00
Last column: nearest neighbours and their distance in Å.
Fractional positions:
Pm (0.8320, 0.7511, 0.3361)  7 Al 3.21-3.27, 1 Li 3.23
Pm (0.8320, 0.2489, 0.3361)  7 Al 3.21-3.27, 1 Li 3.23
Pm (0.5000, 0.2525, 0.0000)  6 Al 3.15-3.20, 2 Li 3.23
Pm (0.5000, 0.7475, 0.0000)  6 Al 3.15-3.20, 2 Li 3.23
Pm (0.1680, 0.7511, 0.6639)  7 Al 3.21-3.27, 1 Li 3.23
Pm (0.1680, 0.2489, 0.6639)  7 Al 3.21-3.27, 1 Li 3.23
Al (0.6662, 0.5000, 0.6675)  8 Pm 3.20-3.22
Al (0.3393, 0.0000, 0.3214)  8 Pm 3.15-3.27
Al (0.0000, 0.5000, 0.0000)  8 Pm 3.20-3.24
Al (0.6607, 0.0000, 0.6786)  8 Pm 3.15-3.27
Al (0.3338, 0.5000, 0.3325)  8 Pm 3.20-3.22
Li (0.0000, 0.0000, 0.0000)  8 Pm 3.23

***

VASP calculation (PBE) on an optimized crystal structure of ErPaNi3.

## Properties
**DFT total energy**: -6.692 eV per atom

abc: 3.5696 4.0552 12.4129
angles: 90.00 98.27 90.00
Last column: nearest neighbours and their distance in Å.
Fractional positions:
Er (0.9308, 0.7500, 0.8615)  10 Ni 2.91-2.97
Er (0.0692, 0.2500, 0.1385)  10 Ni 2.91-2.97
Pa (0.1993, 0.7500, 0.3987)  7 Ni 2.65-2.89
Pa (0.8007, 0.2500, 0.6013)  7 Ni 2.65-2.89
Ni (0.6197, 0.7500, 0.2394)  3 Ni 2.35-2.56
Ni (0.3803, 0.2500, 0.7606)  3 Ni 2.35-2.56
Ni (0.5241, 0.7500, 0.0482)  3 Ni 2.35
Ni (0.4759, 0.2500, 0.9518)  3 Ni 2.35
Ni (0.6832, 0.2500, 0.3665)  2 Ni 2.56, 4 Pa 2.73
Ni (0.3168, 0.7500, 0.6335)  2 Ni 2.56, 4 Pa 2.73

***

VASP calculation (PBE) on an optimized crystal structure of TbSCl.

## Properties
**Energy relative to the elements, uncorrected**: -1.910 eV per atom

abc: 4.8040 4.8040 7.4514
angles: 90.00 90.00 90.29
Last column: nearest neighbours and their distance in Å.
Fractional positions:
Cl (0.9282, 0.0040, 0.7500)  2 Tb 2.59-2.60
Cl (0.0040, 0.9282, 0.2500)  2 Tb 2.59-2.60
Tb (0.5042, 0.1316, 0.2500)  2 Cl 2.59-2.60, 2 S 2.61
Tb (0.1316, 0.5042, 0.7500)  2 Cl 2.59-2.60, 2 S 2.61
S (0.5130, 0.5130, 0.0000)  2 Tb 2.61
S (0.5130, 0.5130, 0.5000)  2 Tb 2.61

***

VASP calculation (PBE) on an optimized crystal structure of CaSe2IBr.

## Properties
**Energy relative to the elements, uncorrected**: -0.156 eV per atom
**ΔE to the lowest computed polymorph**: 67.6 meV per atom

abc: 5.5115 5.5115 5.5729
angles: 90.00 90.00 90.00
Last column: nearest neighbours and their distance in Å.
Fractional positions:
I (0.0000, 0.0000, 0.0000)  4 Se 2.76, 2 Br 2.79
Ca (0.5000, 0.5000, 0.5000)  4 Br 3.90, 8 Se 3.92
Se (0.0000, 0.5000, 0.0000)  2 I 2.76
Se (0.5000, 0.0000, 0.0000)  2 I 2.76
Br (0.0000, 0.0000, 0.5000)  2 I 2.79

***

VASP calculation (PBE) on an optimized crystal structure of InPt2Au2.

## Properties
**ΔE to the lowest computed polymorph**: 157.7 meV per atom

abc: 3.8025 3.8025 7.2954
angles: 74.89 74.89 90.00
Last column: nearest neighbours and their distance in Å.
Fractional positions:
Au (0.7500, 0.2500, 0.5000)  4 Au 2.69, 4 Pt 2.82
Au (0.2500, 0.7500, 0.5000)  4 Au 2.69, 4 Pt 2.82
Pt (0.4038, 0.4038, 0.1925)  1 Pt 2.61, 4 Au 2.82
Pt (0.5962, 0.5962, 0.8075)  1 Pt 2.61, 4 Au 2.82
In (0.0000, 0.0000, 0.0000)  8 Pt 2.99

***

VASP calculation (PBE) on an optimized crystal structure of LiMg2Zn.

## Properties
**DFT total energy**: -1.642 eV per atom

abc: 5.0151 5.0151 5.2769
angles: 80.41 80.41 36.44
Last column: nearest neighbours and their distance in Å.
Fractional positions:
Zn (0.2500, 0.2500, 0.2500)  6 Mg 2.89-2.96, 4 Li 3.07, 2 Zn 3.14
Mg (0.9922, 0.9922, 0.0083)  3 Li 2.88-3.03, 3 Zn 2.89-2.96, 6 Mg 3.02-3.14
Mg (0.5078, 0.5078, 0.4917)  3 Li 2.88-3.03, 3 Zn 2.89-2.96, 6 Mg 3.02-3.14
Li (0.7500, 0.7500, 0.7500)  6 Mg 2.88-3.03, 4 Zn 3.07, 2 Li 3.14

***

VASP calculation (PBE) on an optimized crystal structure of Rb2NiAs2Pd.

## Properties
**DFT total energy**: -4.070 eV per atom

abc: 6.0452 6.0782 11.4676
angles: 105.37 105.28 90.00
Last column: nearest neighbours and their distance in Å.
Fractional positions:
Rb (0.3843, 0.1427, 0.2854)  4 As 3.47-3.63, 2 Pd 3.70, 2 Ni 3.74
Rb (0.6157, 0.8573, 0.7146)  4 As 3.47-3.63, 2 Pd 3.70, 2 Ni 3.74
Rb (0.0990, 0.3573, 0.7146)  4 As 3.47-3.63, 2 Pd 3.70, 2 Ni 3.74
Rb (0.9010, 0.6427, 0.2854)  4 As 3.47-3.63, 2 Pd 3.70, 2 Ni 3.74
Ni (0.5000, 0.7500, 0.0000)  4 As 2.35
Ni (0.5000, 0.2500, 0.0000)  4 As 2.35
As (0.7810, 0.0550, 0.1100)  2 Ni 2.35, 2 Pd 2.53
As (0.3290, 0.5550, 0.1100)  2 Ni 2.35, 2 Pd 2.53
As (0.6710, 0.4450, 0.8900)  2 Ni 2.35, 2 Pd 2.53
As (0.2190, 0.9450, 0.8900)  2 Ni 2.35, 2 Pd 2.53
Pd (0.0000, 0.7500, 0.0000)  4 As 2.53
Pd (0.0000, 0.2500, 0.0000)  4 As 2.53

***

VASP calculation (PBE) on an optimized crystal structure of CoOs2Se.

## Properties
**Energy relative to the elements, uncorrected**: 0.571 eV per atom

abc: 4.4662 4.4662 4.8028
angles: 80.43 80.43 36.87
Last column: nearest neighbours and their distance in Å.
Fractional positions:
Co (0.2500, 0.2500, 0.2500)  6 Os 2.57-2.62, 4 Se 2.79, 2 Co 2.82
Os (0.9913, 0.9913, 0.0202)  3 Co 2.57-2.62, 3 Se 2.61-2.74, 4 Os 2.65-2.82
Os (0.5087, 0.5087, 0.4798)  3 Co 2.57-2.62, 3 Se 2.61-2.74, 4 Os 2.65-2.82
Se (0.7500, 0.7500, 0.7500)  6 Os 2.61-2.74, 4 Co 2.79, 2 Se 2.82

***

VASP calculation (PBE) on an optimized crystal structure of PmAlGa3.

## Properties
**ΔE to the lowest computed polymorph**: 53.3 meV per atom

abc: 4.1695 4.7490 6.0821
angles: 66.98 70.01 90.03
Last column: nearest neighbours and their distance in Å.
Fractional positions:
Pm (0.3974, 0.2006, 0.9108)  8 Ga 3.18-3.38, 4 Al 3.41-3.43
Al (0.0224, 0.8256, 0.6590)  5 Ga 2.49-2.66
Ga (0.6652, 0.9712, 0.3735)  2 Al 2.56, 2 Ga 2.67-2.68
Ga (0.1381, 0.4394, 0.4304)  2 Ga 2.58, 2 Al 2.65-2.66
Ga (0.7847, 0.5883, 0.1374)  1 Al 2.49, 4 Ga 2.58-2.68

***

- What is the formula in the ninth record?
  PmAlGa3